(1)
Density functional theory data (PBE-GGA) for a relaxed Pu6CrSb10 crystal.

Unit cell a=9.1010 b=9.1010 c=6.1079 alpha=90.00 beta=90.00 gamma=120.00
Sites, in units of the cell vectors:
1 Pu 0.0000 0.3874 0.2514
2 Pu 0.0000 0.6126 0.7486
3 Pu 0.3874 0.0000 0.2514
4 Pu 0.3874 0.3874 0.7486
5 Pu 0.6126 0.0000 0.7486
6 Pu 0.6126 0.6126 0.2514
7 Cr 0.0000 0.0000 0.5000
8 Sb 0.0000 0.2445 0.7631
9 Sb 0.0000 0.7555 0.2369
10 Sb 0.2445 0.0000 0.7631
11 Sb 0.2445 0.2445 0.2369
12 Sb 0.3333 0.6667 0.0000
13 Sb 0.3333 0.6667 0.5000
14 Sb 0.6667 0.3333 0.0000
15 Sb 0.6667 0.3333 0.5000
16 Sb 0.7555 0.0000 0.2369
17 Sb 0.7555 0.7555 0.7631

space group	P-31m, No. 162
energy	-144.9	eV for the cell shown


(2)
Density functional theory data (PBE-GGA) for a relaxed CuRhW2 crystal.

Unit cell a=4.6798 b=4.6798 c=4.9019 alpha=97.60 beta=97.60 gamma=33.72
Sites, in units of the cell vectors:
1 Cu 0.0000 0.0000 0.0000
2 Rh 0.7501 0.7501 0.2507
3 W 0.2516 0.2516 0.7739
4 W 0.4950 0.4950 0.4897

formation energy from the elements	0.13	eV per atom
space group	Cm, No. 8
energy above the most stable polymorph in this dataset	45	meV/atom
energy	-36.8	eV for the cell shown


(3)
Density functional theory data (PBE-GGA) for a relaxed SiSb2F2 crystal.

Unit cell a=7.9454 b=7.9454 c=2.8975 alpha=90.00 beta=90.00 gamma=90.00
Sites, in units of the cell vectors:
1 Si 0.0000 0.0000 0.0000
2 Si 0.5000 0.5000 0.0000
3 Sb 0.2096 0.2904 0.0000
4 Sb 0.2904 0.7904 0.0000
5 Sb 0.7096 0.2096 0.0000
6 Sb 0.7904 0.7096 0.0000
7 F 0.1255 0.6255 0.5000
8 F 0.3745 0.1255 0.5000
9 F 0.6255 0.8745 0.5000
10 F 0.8745 0.3745 0.5000

space group	P4/mbm, No. 127
energy above the most stable polymorph in this dataset	0	meV/atom
energy	-42.2	eV for the cell shown


Number 1: magnetization 28.586 μB per cell. Number 2: magnetization 0.000 μB per cell. Number 3: magnetization 0.000 μB per cell.